VASP calculation (GGA-PBE) on crystalline YBeCo3 at its relaxed geometry.

**ΔE to the lowest computed polymorph**: 1978.0 meV per atom
**Energy relative to the elements**: 193.1 kJ/mol of atoms
**Uncorrected energy**: -4.30 eV/atom

Unit cell a=4.5839 b=4.5839 c=4.5839 alpha=90.00 beta=90.00 gamma=90.00
Atoms (fractional coordinates):
Y 0.0000 0.0000 0.0000
Be 0.5000 0.5000 0.5000
Co 0.0000 0.0000 0.5000
Co 0.0000 0.5000 0.0000
Co 0.5000 0.0000 0.0000

=====

VASP calculation (GGA-PBE) on crystalline YBeCo at its relaxed geometry.

**ΔE to the lowest computed polymorph**: 492.2 meV per atom
**Energy relative to the elements**: 25.6 kJ/mol of atoms
**Uncorrected energy**: -5.50 eV/atom

Unit cell a=5.9851 b=5.9851 c=5.9851 alpha=90.00 beta=90.00 gamma=90.00
Atoms (fractional coordinates):
Y 0.0000 0.0000 0.0000
Y 0.0000 0.5000 0.5000
Y 0.5000 0.0000 0.5000
Y 0.5000 0.5000 0.0000
Be 0.0000 0.0000 0.5000
Be 0.0000 0.5000 0.0000
Be 0.5000 0.0000 0.0000
Be 0.5000 0.5000 0.5000
Co 0.2500 0.2500 0.7500
Co 0.2500 0.7500 0.2500
Co 0.7500 0.2500 0.2500
Co 0.7500 0.7500 0.7500

=====

VASP calculation (GGA-PBE) on crystalline YBeCo at its relaxed geometry.

**ΔE to the lowest computed polymorph**: 229.7 meV per atom
**Energy relative to the elements**: 0.3 kJ/mol of atoms
**Uncorrected energy**: -5.76 eV/atom

Unit cell a=3.1289 b=3.1289 c=9.4693 alpha=90.00 beta=90.00 gamma=90.00
Atoms (fractional coordinates):
Y 0.0000 0.0000 0.0000
Y 0.5000 0.5000 0.5000
Be 0.0000 0.0000 0.2868
Be 0.5000 0.5000 0.7867
Co 0.0000 0.0000 0.7104
Co 0.5000 0.5000 0.2104